i | A plane-wave DFT calculation with PBE-GGA was carried out for LaTm2In after structural relaxation.

mass density: 8153 kg/m³
SG: Pnma (62)

abc: 13.3097 5.3612 6.7541
angles: 90.00 90.00 90.00
Fractional coordinates of all 16 atoms:
La 0.1327 0.2500 0.0867
La 0.3673 0.7500 0.5867
La 0.6327 0.2500 0.4133
La 0.8673 0.7500 0.9133
Tm 0.0541 0.7500 0.3706
Tm 0.2007 0.2500 0.6000
Tm 0.2993 0.7500 0.1000
Tm 0.4459 0.2500 0.8706
Tm 0.5541 0.7500 0.1294
Tm 0.7007 0.2500 0.9000
Tm 0.7993 0.7500 0.4000
Tm 0.9459 0.2500 0.6294
In 0.1103 0.7500 0.8125
In 0.3897 0.2500 0.3125
In 0.6103 0.7500 0.6875
In 0.8897 0.2500 0.1875

ii | A plane-wave DFT calculation with PBE-GGA was carried out for LaTm2In after structural relaxation.

mass density: 7988 kg/m³
SG: R-3m (166)

abc: 11.9762 11.9762 11.9762
angles: 16.65 16.65 16.65
Fractional coordinates of all 4 atoms:
La 0.0000 0.0000 0.0000
Tm 0.0962 0.0962 0.0962
Tm 0.9038 0.9038 0.9038
In 0.5000 0.5000 0.5000

Preferred: i; penalty for the next structure: 0.265 eV/atom.

i | A plane-wave DFT calculation with PBE-GGA was carried out for LaTm2In after structural relaxation.

mass density: 7743 kg/m³
SG: P2_1/m (11)

abc: 4.7916 4.8889 11.0895
angles: 90.00 102.38 90.00
Fractional coordinates of all 8 atoms:
La 0.1886 0.2500 0.3812
La 0.8114 0.7500 0.6188
Tm 0.0551 0.7500 0.1118
Tm 0.4392 0.7500 0.8769
Tm 0.5608 0.2500 0.1231
Tm 0.9449 0.2500 0.8882
In 0.3450 0.2500 0.6854
In 0.6550 0.7500 0.3146

ii | A plane-wave DFT calculation with PBE-GGA was carried out for LaTm2In after structural relaxation.

mass density: 8228 kg/m³
SG: P4/mmm (123)

abc: 3.6007 3.6007 9.2090
angles: 90.00 90.00 90.00
Fractional coordinates of all 4 atoms:
La 0.0000 0.0000 0.0000
Tm 0.5000 0.5000 0.2817
Tm 0.5000 0.5000 0.7183
In 0.0000 0.0000 0.5000

Preferred: ii; penalty for the next structure: 0.008 eV/atom.